Entry 1:
The following is a DFT calculation (PBE) of crystalline TmPu3N4 at its relaxed geometry.

Summary:
For the final energy, the calculation gives -11.42 eV per atom. As for the crystal system: orthorhombic. Its raw formation energy is -1.328 eV/atom. The volume comes out at 117 Å³/f.u. The total magnetization is 4.6 Bohr magnetons per cell.

a b c (Å): 5.993 5.993 3.455
angles (deg): 90.00 90.00 109.84
Element x y z (fractional)
Tm (0.000, 0.000, 0.000)
Pu (0.000, 0.500, 0.500)
Pu (0.500, 0.000, 0.500)
Pu (0.500, 0.500, 0.000)
N (0.246, 0.754, 0.000)
N (0.250, 0.250, 0.500)
N (0.750, 0.750, 0.500)
N (0.754, 0.246, 0.000)

***

Entry 2:
The following is a DFT calculation (PBE) of crystalline Mn8FeCo5 at its relaxed geometry.

Summary:
For the final energy, the calculation gives -8.07 eV per atom. As for the crystal system: tetragonal. The calculation puts the energy of formation from the pure elements at 4.35 eV/f.u. The volume comes out at 161 Å³/f.u. The total magnetization is 1.5 Bohr magnetons per cell.

a b c (Å): 5.936 5.936 5.936
angles (deg): 109.53 109.53 109.36
Element x y z (fractional)
Mn (0.134, 0.429, 0.072)
Mn (0.357, 0.061, 0.928)
Mn (0.434, 0.152, 0.413)
Mn (0.571, 0.643, 0.705)
Mn (0.739, 0.021, 0.587)
Mn (0.848, 0.261, 0.282)
Mn (0.939, 0.866, 0.295)
Mn (0.979, 0.566, 0.718)
Fe (0.000, 0.000, 0.000)
Co (0.223, 0.303, 0.695)
Co (0.250, 0.750, 0.500)
Co (0.472, 0.777, 0.079)
Co (0.607, 0.528, 0.305)
Co (0.697, 0.393, 0.921)

***

Entry 3:
The following is a DFT calculation (PBE) of crystalline Na2CaCu at its relaxed geometry.

Summary:
For the final energy, the calculation gives -1.90 eV per atom. As for the crystal system: cubic. The calculation puts the energy of formation from the pure elements at 1.16 eV/f.u. The volume comes out at 107 Å³/f.u. The distance to the lowest polymorph of the same formula is 0.0756 eV/atom. The total magnetization is 0.0 Bohr magnetons per cell.

a b c (Å): 5.325 5.325 5.325
angles (deg): 60.00 60.00 60.00
Element x y z (fractional)
Na (0.250, 0.250, 0.250)
Na (0.750, 0.750, 0.750)
Ca (0.000, 0.000, 0.000)
Cu (0.500, 0.500, 0.500)

***

Entry 4:
The following is a DFT calculation (PBE) of crystalline AcY2Ho9 at its relaxed geometry.

Summary:
For the final energy, the calculation gives -4.81 eV per atom. As for the crystal system: tetragonal. The calculation puts the energy of formation from the pure elements at 0.48 eV/f.u. The volume comes out at 387 Å³/f.u. The total magnetization is 0.0 Bohr magnetons per cell.

a b c (Å): 5.051 5.051 15.183
angles (deg): 90.00 90.00 90.00
Element x y z (fractional)
Ac (0.000, 0.000, 0.000)
Y (0.000, 0.000, 0.336)
Y (0.000, 0.000, 0.664)
Ho (0.000, 0.500, 0.173)
Ho (0.000, 0.500, 0.500)
Ho (0.000, 0.500, 0.827)
Ho (0.500, 0.000, 0.173)
Ho (0.500, 0.000, 0.500)
Ho (0.500, 0.000, 0.827)
Ho (0.500, 0.500, 0.000)
Ho (0.500, 0.500, 0.337)
Ho (0.500, 0.500, 0.663)

***

Entry 5:
The following is a DFT calculation (PBE) of crystalline Nd5Zn6 at its relaxed geometry.

Summary:
For the final energy, the calculation gives -3.02 eV per atom. As for the crystal system: orthorhombic. The calculation puts the energy of formation from the pure elements at -1.79 eV/f.u. The volume comes out at 290 Å³/f.u. The total magnetization is 0.0 Bohr magnetons per cell.

a b c (Å): 8.911 8.911 8.911
angles (deg): 146.53 131.43 60.27
Element x y z (fractional)
Nd (0.000, 0.000, 0.000)
Nd (0.171, 0.671, 0.500)
Nd (0.347, 0.347, 0.000)
Nd (0.653, 0.653, 0.000)
Nd (0.829, 0.329, 0.500)
Zn (0.090, 0.836, 0.254)
Zn (0.232, 0.500, 0.732)
Zn (0.418, 0.164, 0.254)
Zn (0.582, 0.836, 0.746)
Zn (0.768, 0.500, 0.268)
Zn (0.910, 0.164, 0.746)

***

Entry 6:
The following is a DFT calculation (PBE) of crystalline Hf2VH at its relaxed geometry.

Summary:
For the final energy, the calculation gives -7.99 eV per atom. As for the crystal system: trigonal. The volume comes out at 61 Å³/f.u. The distance to the lowest polymorph of the same formula is 0.0000 eV/atom. The total magnetization is 1.9 Bohr magnetons per cell.

a b c (Å): 7.307 7.307 7.307
angles (deg): 24.96 24.96 24.96
Element x y z (fractional)
Hf (0.231, 0.231, 0.231)
Hf (0.769, 0.769, 0.769)
V (0.000, 0.000, 0.000)
H (0.500, 0.500, 0.500)